! NaPu2Br5 | Alexandria | PBE | relaxed; values from VASP
&SYSTEM
  ibrav = 0, nat = 16, ntyp = 3
/
ATOMIC_SPECIES
Na 22.99 Na.upf
Pu 244.00 Pu.upf
Br 79.90 Br.upf
CELL_PARAMETERS angstrom
2.966 -6.791 0.000
2.966 6.791 0.000
0.000 0.000 14.686
ATOMIC_POSITIONS angstrom
Na 2.966 3.860 11.014
Na 2.966 -3.860 3.671
Pu 2.966 4.722 0.809
Pu 2.966 4.722 6.534
Pu 2.966 -4.722 8.152
Pu 2.966 -4.722 13.877
Br 2.966 6.097 9.129
Br 2.966 6.097 12.899
Br 2.966 3.644 3.671
Br 2.966 2.278 8.313
Br 2.966 2.278 13.716
Br 2.966 -2.278 0.970
Br 2.966 -2.278 6.373
Br 2.966 -3.644 11.014
Br 2.966 -6.097 1.786
Br 2.966 -6.097 5.557
! ΔE_f (raw) ... -1.4121 eV per atom
! Raw total energy ... -6.205 eV/atom
! Size of the total moment ... 12.00 μB per formula unit
! Space group ... No. 63